[1]
# SrIrW2 PBE relaxed
# Energy above the lowest structure with this stoichiometry ... 0.601 eV per atom
# Calculated density ... 15.27 g/cm³
# Volume ... 17.60 Å³ per atom
data_SrIrW2
_cell_length_a 6.555
_cell_length_b 6.555
_cell_length_c 6.555
_cell_angle_alpha 90.00
_cell_angle_beta 90.00
_cell_angle_gamma 90.00
_symmetry_space_group_name_H-M 'F m -3 m'
_symmetry_Int_Tables_number 225
_symmetry_space_group_name_Hall '-F 4 2 3'
loop_
_atom_site_label
_atom_site_type_symbol
_atom_site_fract_x
_atom_site_fract_y
_atom_site_fract_z
Sr1 Sr 0.000 0.000 0.000
Ir1 Ir 0.000 0.000 0.500
W1 W 0.250 0.250 0.250

***

[2]
# SrIr2W2 PBE relaxed
# Energy above the lowest structure with this stoichiometry ... 0.000 eV per atom
# Calculated density ... 15.33 g/cm³
# Volume ... 18.19 Å³ per atom
data_SrIr2W2
_cell_length_a 8.068
_cell_length_b 8.068
_cell_length_c 2.795
_cell_angle_alpha 90.00
_cell_angle_beta 90.00
_cell_angle_gamma 90.00
_symmetry_space_group_name_H-M 'P 4/m b m'
_symmetry_Int_Tables_number 127
_symmetry_space_group_name_Hall '-P 4 2ab'
loop_
_atom_site_label
_atom_site_type_symbol
_atom_site_fract_x
_atom_site_fract_y
_atom_site_fract_z
Sr1 Sr 0.000 0.000 0.000
Ir1 Ir 0.169 0.331 0.500
W1 W 0.117 0.617 0.000

***

[3]
# SrIrW2 PBE relaxed
# Energy above the lowest structure with this stoichiometry ... 0.748 eV per atom
# Calculated density ... 14.85 g/cm³
# Volume ... 18.10 Å³ per atom
data_SrIrW2
_cell_length_a 4.988
_cell_length_b 4.988
_cell_length_c 2.911
_cell_angle_alpha 90.00
_cell_angle_beta 90.00
_cell_angle_gamma 90.00
_symmetry_space_group_name_H-M 'P 4/m m m'
_symmetry_Int_Tables_number 123
_symmetry_space_group_name_Hall '-P 4 2'
loop_
_atom_site_label
_atom_site_type_symbol
_atom_site_fract_x
_atom_site_fract_y
_atom_site_fract_z
Sr1 Sr 0.000 0.000 0.000
Ir1 Ir 0.500 0.500 0.000
W1 W 0.000 0.500 0.500

***

[4]
# SrIrW2 PBE relaxed
# Energy above the lowest structure with this stoichiometry ... 0.317 eV per atom
# Calculated density ... 13.71 g/cm³
# Volume ... 19.61 Å³ per atom
data_SrIrW2
_cell_length_a 3.048
_cell_length_b 5.250
_cell_length_c 9.802
_cell_angle_alpha 90.00
_cell_angle_beta 90.00
_cell_angle_gamma 90.00
_symmetry_space_group_name_H-M 'I m m 2'
_symmetry_Int_Tables_number 44
_symmetry_space_group_name_Hall 'I 2 -2'
loop_
_atom_site_label
_atom_site_type_symbol
_atom_site_fract_x
_atom_site_fract_y
_atom_site_fract_z
Sr1 Sr 0.000 0.000 0.000
Ir1 Ir 0.000 0.500 0.220
W1 W 0.000 0.000 0.497
W2 W 0.000 0.500 0.789

***

[5]
# SrIr3W PBE relaxed
# Energy above the lowest structure with this stoichiometry ... 0.000 eV per atom
# Calculated density ... 12.40 g/cm³
# Volume ... 22.71 Å³ per atom
data_SrIr3W
_cell_length_a 4.842
_cell_length_b 4.842
_cell_length_c 4.842
_cell_angle_alpha 90.00
_cell_angle_beta 90.00
_cell_angle_gamma 90.00
_symmetry_space_group_name_H-M 'P m -3 m'
_symmetry_Int_Tables_number 221
_symmetry_space_group_name_Hall '-P 4 2 3'
loop_
_atom_site_label
_atom_site_type_symbol
_atom_site_fract_x
_atom_site_fract_y
_atom_site_fract_z
Sr1 Sr 0.000 0.000 0.000
Ir1 Ir 0.000 0.500 0.500
W1 W 0.500 0.500 0.500

***

[6]
# SrIrW2 PBE relaxed
# Energy above the lowest structure with this stoichiometry ... 0.175 eV per atom
# Calculated density ... 12.84 g/cm³
# Volume ... 20.93 Å³ per atom
data_SrIrW2
_cell_length_a 2.837
_cell_length_b 3.881
_cell_length_c 7.604
_cell_angle_alpha 90.00
_cell_angle_beta 90.00
_cell_angle_gamma 90.00
_symmetry_space_group_name_H-M 'P m m m'
_symmetry_Int_Tables_number 47
_symmetry_space_group_name_Hall '-P 2 2'
loop_
_atom_site_label
_atom_site_type_symbol
_atom_site_fract_x
_atom_site_fract_y
_atom_site_fract_z
Sr1 Sr 0.000 0.000 0.000
Ir1 Ir 0.000 0.000 0.500
W1 W 0.500 0.500 0.333

***

[7]
# SrIrW2 PBE relaxed
# Energy above the lowest structure with this stoichiometry ... 0.056 eV per atom
# Calculated density ... 13.69 g/cm³
# Volume ... 19.63 Å³ per atom
data_SrIrW2
_cell_length_a 12.202
_cell_length_b 2.803
_cell_length_c 5.039
_cell_angle_alpha 90.00
_cell_angle_beta 114.32
_cell_angle_gamma 90.00
_symmetry_space_group_name_H-M 'C 1 2/m 1'
_symmetry_Int_Tables_number 12
_symmetry_space_group_name_Hall '-C 2y'
loop_
_atom_site_label
_atom_site_type_symbol
_atom_site_fract_x
_atom_site_fract_y
_atom_site_fract_z
Sr1 Sr 0.000 0.000 0.000
Ir1 Ir 0.000 0.500 0.500
W1 W 0.208 0.000 0.708

***

[8]
# SrIrW2 PBE relaxed
# Energy above the lowest structure with this stoichiometry ... 0.504 eV per atom
# Calculated density ... 14.52 g/cm³
# Volume ... 18.52 Å³ per atom
data_SrIrW2
_cell_length_a 5.466
_cell_length_b 9.771
_cell_length_c 2.774
_cell_angle_alpha 90.00
_cell_angle_beta 90.00
_cell_angle_gamma 90.00
_symmetry_space_group_name_H-M 'C m m m'
_symmetry_Int_Tables_number 65
_symmetry_space_group_name_Hall '-C 2 2'
loop_
_atom_site_label
_atom_site_type_symbol
_atom_site_fract_x
_atom_site_fract_y
_atom_site_fract_z
Sr1 Sr 0.000 0.000 0.000
Ir1 Ir 0.000 0.500 0.000
W1 W 0.250 0.250 0.500

***

[9]
# SrIrW2 PBE relaxed
# Energy above the lowest structure with this stoichiometry ... 0.562 eV per atom
# Calculated density ... 14.11 g/cm³
# Volume ... 19.06 Å³ per atom
data_SrIrW2
_cell_length_a 3.933
_cell_length_b 3.933
_cell_length_c 4.928
_cell_angle_alpha 90.00
_cell_angle_beta 90.00
_cell_angle_gamma 90.00
_symmetry_space_group_name_H-M 'P 4/m m m'
_symmetry_Int_Tables_number 123
_symmetry_space_group_name_Hall '-P 4 2'
loop_
_atom_site_label
_atom_site_type_symbol
_atom_site_fract_x
_atom_site_fract_y
_atom_site_fract_z
Sr1 Sr 0.000 0.000 0.000
Ir1 Ir 0.500 0.500 0.000
W1 W 0.000 0.500 0.500

***

[10]
# Sr2Ir2W PBE relaxed
# Energy above the lowest structure with this stoichiometry ... 0.000 eV per atom
# Calculated density ... 10.72 g/cm³
# Volume ... 23.04 Å³ per atom
data_Sr2Ir2W
_cell_length_a 6.661
_cell_length_b 6.661
_cell_length_c 5.192
_cell_angle_alpha 90.00
_cell_angle_beta 90.00
_cell_angle_gamma 90.00
_symmetry_space_group_name_H-M 'P 4/m b m'
_symmetry_Int_Tables_number 127
_symmetry_space_group_name_Hall '-P 4 2ab'
loop_
_atom_site_label
_atom_site_type_symbol
_atom_site_fract_x
_atom_site_fract_y
_atom_site_fract_z
Sr1 Sr 0.181 0.319 0.000
Ir1 Ir 0.134 0.634 0.500
W1 W 0.000 0.000 0.500

***

[11]
# SrIrW3 PBE relaxed
# Energy above the lowest structure with this stoichiometry ... 2.161 eV per atom
# Calculated density ... 13.79 g/cm³
# Volume ... 20.02 Å³ per atom
data_SrIrW3
_cell_length_a 4.643
_cell_length_b 4.643
_cell_length_c 4.643
_cell_angle_alpha 90.00
_cell_angle_beta 90.00
_cell_angle_gamma 90.00
_symmetry_space_group_name_H-M 'P m -3 m'
_symmetry_Int_Tables_number 221
_symmetry_space_group_name_Hall '-P 4 2 3'
loop_
_atom_site_label
_atom_site_type_symbol
_atom_site_fract_x
_atom_site_fract_y
_atom_site_fract_z
Sr1 Sr 0.000 0.000 0.000
Ir1 Ir 0.500 0.500 0.500
W1 W 0.000 0.000 0.500

***

[12]
# SrYIr2 PBE relaxed
# Energy above the lowest structure with this stoichiometry ... 0.158 eV per atom
# Calculated density ... 10.49 g/cm³
# Volume ... 22.19 Å³ per atom
data_SrYIr2
_cell_length_a 3.149
_cell_length_b 4.933
_cell_length_c 11.430
_cell_angle_alpha 90.00
_cell_angle_beta 90.00
_cell_angle_gamma 90.00
_symmetry_space_group_name_H-M 'I m m 2'
_symmetry_Int_Tables_number 44
_symmetry_space_group_name_Hall 'I 2 -2'
loop_
_atom_site_label
_atom_site_type_symbol
_atom_site_fract_x
_atom_site_fract_y
_atom_site_fract_z
Sr1 Sr 0.000 0.000 0.000
Y1 Y 0.000 0.500 0.801
Ir1 Ir 0.000 0.000 0.545
Ir2 Ir 0.000 0.500 0.230

***

[13]
# Sr3YIr PBE relaxed
# Energy above the lowest structure with this stoichiometry ... 1.463 eV per atom
# Calculated density ... 4.19 g/cm³
# Volume ... 43.15 Å³ per atom
data_Sr3YIr
_cell_length_a 5.998
_cell_length_b 5.998
_cell_length_c 5.998
_cell_angle_alpha 90.00
_cell_angle_beta 90.00
_cell_angle_gamma 90.00
_symmetry_space_group_name_H-M 'P m -3 m'
_symmetry_Int_Tables_number 221
_symmetry_space_group_name_Hall '-P 4 2 3'
loop_
_atom_site_label
_atom_site_type_symbol
_atom_site_fract_x
_atom_site_fract_y
_atom_site_fract_z
Sr1 Sr 0.000 0.000 0.500
Y1 Y 0.000 0.000 0.000
Ir1 Ir 0.500 0.500 0.500

***

[14]
# Sr4YIr PBE relaxed
# Final energy ... -65.43 eV/cell
# Calculated density ... 4.75 g/cm³
# Volume ... 36.80 Å³ per atom
data_Sr4YIr
_cell_length_a 9.595
_cell_length_b 9.595
_cell_length_c 9.595
_cell_angle_alpha 90.00
_cell_angle_beta 90.00
_cell_angle_gamma 90.00
_symmetry_space_group_name_H-M 'F -4 3 m'
_symmetry_Int_Tables_number 216
_symmetry_space_group_name_Hall 'F -4 2 3'
loop_
_atom_site_label
_atom_site_type_symbol
_atom_site_fract_x
_atom_site_fract_y
_atom_site_fract_z
Sr1 Sr 0.124 0.124 0.376
Y1 Y 0.000 0.000 0.000
Ir1 Ir 0.250 0.250 0.750

***

[15]
# SrYIr2 PBE relaxed
# Energy above the lowest structure with this stoichiometry ... 0.355 eV per atom
# Calculated density ... 8.94 g/cm³
# Volume ... 26.04 Å³ per atom
data_SrYIr2
_cell_length_a 3.555
_cell_length_b 3.555
_cell_length_c 8.242
_cell_angle_alpha 90.00
_cell_angle_beta 90.00
_cell_angle_gamma 90.00
_symmetry_space_group_name_H-M 'P 4 m m'
_symmetry_Int_Tables_number 99
_symmetry_space_group_name_Hall 'P 4 -2'
loop_
_atom_site_label
_atom_site_type_symbol
_atom_site_fract_x
_atom_site_fract_y
_atom_site_fract_z
Sr1 Sr 0.000 0.000 0.000
Y1 Y 0.500 0.500 0.403
Ir1 Ir 0.000 0.000 0.631
Ir2 Ir 0.500 0.500 0.722

***

| no. | total moment (μB per formula unit) |
| --- | --- |
| 1 | 0.0 |
| 2 | 0.0 |
| 3 | 0.0 |
| 4 | 0.0 |
| 5 | 0.0 |
| 6 | 0.0 |
| 7 | 0.0 |
| 8 | 0.0 |
| 9 | 0.0 |
| 10 | 0.0 |
| 11 | 0.0 |
| 12 | 0.0 |
| 13 | 4.2 |
| 14 | 1.6 |
| 15 | 0.0 |